DFT (PBE+U) results for an optimized crystal structure of BaSrFe2O6.

POSCAR file:
```
BaSrFe2O6
1.0
3.979 0.000 0.000
0.000 3.979 0.000
0.000 0.000 7.948
O Fe Ba Sr
6 2 1 1
Cartesian
1.989 0.000 2.067 O
0.000 0.000 0.000 O
0.000 1.989 5.881 O
0.000 0.000 3.974 O
1.989 0.000 5.881 O
0.000 1.989 2.067 O
0.000 0.000 2.020 Fe
0.000 0.000 5.928 Fe
1.989 1.989 0.000 Ba
1.989 1.989 3.974 Sr
```

Values from the calculation:
N(E_F) ... 0.659 states/eV per atom
Calculated volume ... 12.584 Å³/atom
Raw total energy ... -6.3376 eV/atom
Space-group type ... P4/mmm
Crystal system ... tetragonal